1.
Computed, not measured: an optimized crystal structure of NaPr2Y3Te6 at the PBE level of DFT.

```
NaPr2Y3Te6
1.0
4.4114 0.0000 0.0000
0.0000 8.9712 0.2707
-2.2057 -2.6380 9.3833
Na Pr Y Te
1 2 3 6
Cartesian
2.2057 0.0000 0.0000 Na
2.2057 4.1434 6.3454 Pr
0.0000 2.1898 3.3086 Pr
2.2057 4.4856 0.1354 Y
2.2057 -0.2185 6.2938 Y
0.0000 6.5516 3.3602 Y
0.0000 6.5403 6.4835 Te
2.2057 4.4601 3.1896 Te
2.2057 -0.2071 3.1705 Te
2.2057 -0.3521 9.4250 Te
0.0000 6.6853 0.2290 Te
0.0000 1.8730 6.4644 Te
```

DFT total energy, eV per atom: -5.467
Crystal system: monoclinic
Symmetry: No. 12
Volume, Å³/cell: 374
N(E_F), states/eV/cell: 4.120
Energy relative to the elements, uncorrected, eV/atom: -1.373

***

2.
Computed, not measured: an optimized crystal structure of Re3Te at the PBE level of DFT.

```
Re3Te
1.0
5.1101 0.0000 0.0000
0.0000 5.1101 0.0000
0.0000 0.0000 5.1101
Re Te
6 2
Cartesian
3.8326 2.5551 0.0000 Re
1.2775 2.5551 0.0000 Re
0.0000 3.8326 2.5551 Re
0.0000 1.2775 2.5551 Re
2.5551 0.0000 1.2775 Re
2.5551 0.0000 3.8326 Re
0.0000 0.0000 0.0000 Te
2.5551 2.5551 2.5551 Te
```

DFT total energy, eV per atom: -8.940
ΔE to the lowest computed polymorph, meV per atom: 647
Crystal system: cubic
Symmetry: No. 223
Volume, Å³/cell: 133
N(E_F), states/eV/cell: 11.931
Energy relative to the elements, uncorrected, eV/atom: 1.182

***

3.
Computed, not measured: an optimized crystal structure of Ti2Mn4Ga3 at the PBE level of DFT.

```
Ti2Mn4Ga3
1.0
-3.6067 0.4652 0.9559
-0.9805 -1.3377 4.3497
2.0227 6.3070 4.5658
Ti Mn Ga
2 4 3
Cartesian
0.0558 4.6003 5.3726 Ti
-2.6203 0.8342 4.4989 Ti
-1.2563 5.0064 7.6187 Mn
-0.3240 0.8239 5.7757 Mn
-2.2406 4.6106 4.0957 Mn
-1.3082 0.4281 2.2527 Mn
-0.6622 2.5064 3.6774 Ga
0.0000 0.0000 0.0000 Ga
-1.9023 2.9282 6.1941 Ga
```

DFT formation energy, eV per atom: -0.205
DFT total energy, eV per atom: -7.044
Crystal system: monoclinic
Symmetry: No. 12
Volume, Å³/cell: 124
N(E_F), states/eV/cell: 6.632

***

4.
Computed, not measured: an optimized crystal structure of Cr2SiW at the PBE level of DFT.

```
Cr2SiW
1.0
6.7058 0.0000 0.0000
0.0000 6.7058 0.0000
3.3529 3.3529 2.5376
Cr Si W
4 2 2
Cartesian
4.9113 1.6765 0.6344 Cr
1.7946 5.0294 0.6344 Cr
5.0294 5.1475 1.9032 Cr
8.3823 8.2642 1.9032 Cr
3.3529 3.3529 0.0000 Si
3.3529 6.7058 1.2688 Si
0.0000 0.0000 0.0000 W
6.7058 3.3529 1.2688 W
```

DFT total energy, eV per atom: -8.677
Crystal system: tetragonal
Symmetry: No. 122
Volume, Å³/cell: 114
N(E_F), states/eV/cell: 10.470
Energy relative to the elements, uncorrected, eV/atom: 0.729

***

5.
Computed, not measured: an optimized crystal structure of LaHg3As at the PBE level of DFT.

```
LaHg3As
1.0
-0.2833 -3.2997 -4.1220
4.4186 -2.4080 1.6239
-2.8906 -3.3575 2.8864
As Hg La
1 3 1
Cartesian
0.0000 0.0000 0.0000 As
2.2093 -1.2040 0.8120 Hg
-1.4453 -1.6788 1.4432 Hg
-0.1417 -1.6499 -2.0610 Hg
0.6224 -4.5326 0.1942 La
```

DFT formation energy, eV per atom: 0.106
DFT total energy, eV per atom: -1.990
ΔE to the lowest computed polymorph, meV per atom: 0
Crystal system: cubic
Symmetry: No. 221
Volume, Å³/cell: 148
N(E_F), states/eV/cell: 5.173

***

6.
Computed, not measured: an optimized crystal structure of ScAsRuSe2 at the PBE level of DFT.

```
ScAsRuSe2
1.0
5.0363 0.0000 0.0000
0.0000 5.0363 0.0000
0.0000 0.0000 5.1063
Sc Ru As Se
1 1 1 2
Cartesian
0.0000 0.0000 0.0000 Sc
2.5182 2.5182 2.5531 Ru
0.0000 0.0000 2.5531 As
0.0000 2.5182 0.0000 Se
2.5182 0.0000 0.0000 Se
```

DFT total energy, eV per atom: -4.890
ΔE to the lowest computed polymorph, meV per atom: 538
Crystal system: tetragonal
Symmetry: No. 123
Volume, Å³/cell: 130
N(E_F), states/eV/cell: 5.434
Energy relative to the elements, uncorrected, eV/atom: 0.555

***

7.
Computed, not measured: an optimized crystal structure of NdHoI2 at the PBE level of DFT.

```
NdHoI2
1.0
3.8406 0.0000 0.0000
1.9203 3.3261 0.0000
1.9203 1.1087 9.6133
Nd Ho I
1 1 2
Cartesian
3.8406 2.2174 0.0599 Nd
3.8406 2.2174 4.7521 Ho
1.9203 1.1087 7.1307 I
1.9203 1.1087 2.4773 I
```

DFT total energy, eV per atom: -3.879
ΔE to the lowest computed polymorph, meV per atom: 0
Crystal system: trigonal
Symmetry: No. 160
Volume, Å³/cell: 123
N(E_F), states/eV/cell: 1.668
Energy relative to the elements, uncorrected, eV/atom: -0.768

***

8.
Computed, not measured: an optimized crystal structure of Al3CrFe3 at the PBE level of DFT.

```
Al3CrFe3
1.0
5.7325 -0.1571 -0.0007
-0.1441 5.7329 -0.0007
0.0008 0.0008 5.6300
Al Cr Fe
6 2 6
Cartesian
0.0007 0.0007 4.2160 Al
2.8664 -0.0783 1.4018 Al
-0.0718 2.8666 1.4018 Al
2.7229 5.6549 4.2269 Al
5.6611 2.7100 4.2269 Al
5.5886 5.5759 1.4126 Al
1.8553 1.8511 5.6294 Cr
3.7340 3.7255 -0.0007 Cr
1.7756 1.7716 2.8145 Fe
1.4380 4.1480 2.8143 Fe
4.1513 1.4285 2.8143 Fe
1.3067 4.2789 -0.0007 Fe
4.2818 1.2969 -0.0007 Fe
3.8136 3.8050 2.8141 Fe
```

DFT formation energy, eV per atom: 0.006
DFT total energy, eV per atom: -6.599
Crystal system: orthorhombic
Symmetry: No. 65
Volume, Å³/cell: 185
N(E_F), states/eV/cell: 13.441

***

9.
Computed, not measured: an optimized crystal structure of Zr2CdPb at the PBE level of DFT.

```
Zr2CdPb
1.0
-1.8680 1.2926 -2.2364
0.0129 -2.7564 -1.6012
-7.7939 -2.8584 4.8576
Cd Pb Zr
1 1 2
Cartesian
-3.7700 -1.3826 2.3497 Cd
-6.8140 -2.8908 1.7500 Pb
-0.1136 -0.0417 0.0708 Zr
-2.8482 -1.4363 -0.7217 Zr
```

DFT formation energy, eV per atom: -0.037
DFT total energy, eV per atom: -5.467
Crystal system: tetragonal
Symmetry: No. 99
Volume, Å³/cell: 98
N(E_F), states/eV/cell: 3.308

***

10.
Computed, not measured: an optimized crystal structure of ZrAsIr3 at the PBE level of DFT.

```
ZrAsIr3
1.0
-2.6827 3.3069 -2.3538
1.9938 -1.3840 -4.2169
-3.5356 -3.2897 -0.5920
As Ir Zr
1 3 1
Cartesian
-2.1123 -0.6834 -3.5813 As
0.9969 -0.6920 -2.1084 Ir
-1.7678 -1.6448 -0.2960 Ir
-1.3414 1.6534 -1.1769 Ir
0.0000 0.0000 0.0000 Zr
```

DFT formation energy, eV per atom: 1.679
DFT total energy, eV per atom: -6.277
ΔE to the lowest computed polymorph, meV per atom: 1148
Crystal system: cubic
Symmetry: No. 221
Volume, Å³/cell: 115
N(E_F), states/eV/cell: 6.424

***

11.
Computed, not measured: an optimized crystal structure of SrReO2 at the PBE level of DFT.

```
SrReO2
1.0
1.7645 0.0000 7.2181
-0.8822 1.5281 7.2181
-0.8822 -1.5281 7.2181
Re O Sr
1 2 1
Cartesian
0.0000 0.0000 10.8271 Re
0.0000 0.0000 19.2809 O
0.0000 0.0000 2.3733 O
0.0000 0.0000 0.0000 Sr
```

DFT total energy, eV per atom: -6.562
ΔE to the lowest computed polymorph, meV per atom: 804
Crystal system: trigonal
Symmetry: No. 166
Volume, Å³/cell: 58
N(E_F), states/eV/cell: 2.447
Energy relative to the elements, uncorrected, eV/atom: -0.551

***

12.
Computed, not measured: an optimized crystal structure of Ba4MgGa at the PBE level of DFT.

```
Ba4MgGa
1.0
-3.9524 -1.4349 4.2207
-3.9022 -4.4016 -0.9457
3.7824 -8.4340 4.8795
Ba Mg Ga
4 1 1
Cartesian
-4.6066 -4.5282 2.5564 Ba
0.5344 -9.7423 5.5981 Ba
1.5768 -6.1987 3.5741 Ba
-5.6491 -8.0718 4.5804 Ba
-2.0361 -7.1352 4.0773 Mg
0.0000 0.0000 0.0000 Ga
```

DFT formation energy, eV per atom: -0.030
DFT total energy, eV per atom: -2.082
ΔE to the lowest computed polymorph, meV per atom: 115
Crystal system: trigonal
Symmetry: No. 166
Volume, Å³/cell: 303
N(E_F), states/eV/cell: 8.737

***

13.
Computed, not measured: an optimized crystal structure of Nd5Tl4Ir at the PBE level of DFT.

```
Nd5Tl4Ir
1.0
3.6367 0.0000 0.0000
0.0000 3.6367 0.0000
0.0000 0.0000 21.3892
Nd Tl Ir
5 4 1
Cartesian
1.8184 1.8184 1.6851 Nd
1.8184 1.8184 6.2402 Nd
1.8184 1.8184 10.6946 Nd
1.8184 1.8184 15.1490 Nd
1.8184 1.8184 19.7041 Nd
0.0000 0.0000 4.0494 Tl
0.0000 0.0000 8.4671 Tl
0.0000 0.0000 12.9221 Tl
0.0000 0.0000 17.3398 Tl
0.0000 0.0000 0.0000 Ir
```

DFT formation energy, eV per atom: -0.434
DFT total energy, eV per atom: -4.651
Crystal system: tetragonal
Symmetry: No. 123
Volume, Å³/cell: 283
N(E_F), states/eV/cell: 8.168

***

14.
Computed, not measured: an optimized crystal structure of PmDyCuAg at the PBE level of DFT.

```
PmDyCuAg
1.0
3.5807 0.0000 0.0000
0.0000 3.5807 0.0000
0.0000 0.0000 7.2844
Pm Dy Cu Ag
1 1 1 1
Cartesian
1.7903 1.7903 0.8769 Pm
1.7903 1.7903 4.3209 Dy
0.0000 0.0000 2.7151 Cu
0.0000 0.0000 6.1312 Ag
```

DFT formation energy, eV per atom: -0.252
DFT total energy, eV per atom: -4.327
ΔE to the lowest computed polymorph, meV per atom: 0
Crystal system: tetragonal
Symmetry: No. 99
Volume, Å³/cell: 93
N(E_F), states/eV/cell: 2.235

***

15.
Computed, not measured: an optimized crystal structure of Ca2Pr4Pb3O2 at the PBE level of DFT.

```
Ca2Pr4Pb3O2
1.0
4.9601 0.0000 0.0000
0.0000 4.9601 0.0000
-2.4800 -2.4800 12.8540
Ca Pr Pb O
2 4 3 2
Cartesian
0.0000 0.0000 7.8046 Ca
2.4800 2.4800 5.0493 Ca
0.0000 2.4800 10.5897 Pr
2.4800 0.0000 10.5897 Pr
0.0000 2.4800 2.2642 Pr
2.4800 0.0000 2.2642 Pr
0.0000 0.0000 0.0000 Pb
0.0000 0.0000 4.5328 Pb
2.4800 2.4800 8.3211 Pb
0.0000 0.0000 10.2351 O
2.4800 2.4800 2.6189 O
```

DFT total energy, eV per atom: -5.362
Crystal system: tetragonal
Symmetry: No. 139
Volume, Å³/cell: 316
N(E_F), states/eV/cell: 3.129
Energy relative to the elements, uncorrected, eV/atom: -1.347

***

16.
Computed, not measured: an optimized crystal structure of Li2HfCdSe4 at the PBE level of DFT.

```
Li2HfCdSe4
1.0
-2.0099 2.3553 -2.3626
2.4476 -3.3559 -5.4279
-4.1999 -5.2426 -1.6537
Li Hf Cd Se
2 1 1 4
Cartesian
-4.1999 -5.2426 -1.6537 Li
-3.1049 -1.4436 -2.0081 Li
-0.8762 -4.2992 -3.5408 Hf
0.2189 -0.5003 -3.8952 Cd
-1.2890 -6.3545 -5.2386 Se
-2.4732 0.1113 -4.2056 Se
-0.3052 -2.7570 -5.6993 Se
-3.4570 -3.4861 -3.7448 Se
```

DFT total energy, eV per atom: -4.660
Crystal system: monoclinic
Symmetry: No. 10
Volume, Å³/cell: 173
Energy relative to the elements, uncorrected, eV/atom: -1.080

***

17.
Computed, not measured: an optimized crystal structure of In2Bi2S at the PBE level of DFT.

```
In2Bi2S
1.0
7.6530 0.0000 0.0000
0.0000 7.6530 0.0000
0.0000 0.0000 5.1494
S Bi In
2 4 4
Cartesian
0.0000 0.0000 0.0000 S
3.8265 3.8265 0.0000 S
2.6590 6.4855 0.0000 Bi
6.4855 4.9940 0.0000 Bi
4.9940 1.1675 0.0000 Bi
1.1675 2.6590 0.0000 Bi
1.2490 5.0754 2.5747 In
5.0754 6.4040 2.5747 In
6.4040 2.5775 2.5747 In
2.5775 1.2490 2.5747 In
```

DFT total energy, eV per atom: -3.405
ΔE to the lowest computed polymorph, meV per atom: 0
Crystal system: tetragonal
Symmetry: No. 127
Volume, Å³/cell: 302
N(E_F), states/eV/cell: 3.462
Energy relative to the elements, uncorrected, eV/atom: 0.069

***

18.
Computed, not measured: an optimized crystal structure of AcCdSe2 at the PBE level of DFT.

```
AcCdSe2
1.0
-3.4582 0.0442 1.8069
2.3284 -1.0003 4.4808
0.5139 5.0493 0.8601
Ac Se Cd
1 2 1
Cartesian
-1.7291 0.0221 0.9034 Ac
0.2570 2.5247 0.4301 Se
1.1642 -0.5001 2.2404 Se
-0.3080 2.0466 3.5739 Cd
```

DFT total energy, eV per atom: -4.187
ΔE to the lowest computed polymorph, meV per atom: 0
Crystal system: tetragonal
Symmetry: No. 123
Volume, Å³/cell: 103
N(E_F), states/eV/cell: 1.156
Energy relative to the elements, uncorrected, eV/atom: -1.189

***

19.
Computed, not measured: an optimized crystal structure of Tl2NiW at the PBE level of DFT.

```
Tl2NiW
1.0
-3.3912 3.1978 -4.0741
0.9520 0.1445 -6.1153
-1.2951 -2.9886 5.2646
Ni Tl W
1 2 1
Cartesian
-0.8742 -0.4592 -3.3608 Ni
-0.0383 0.0525 -0.1599 Tl
-2.9040 0.8730 -1.7474 Tl
-1.1375 1.5586 -4.7515 W
```

DFT formation energy, eV per atom: 0.740
DFT total energy, eV per atom: -5.126
ΔE to the lowest computed polymorph, meV per atom: 218
Crystal system: orthorhombic
Symmetry: No. 44
Volume, Å³/cell: 80
N(E_F), states/eV/cell: 2.006

***

20.
Computed, not measured: an optimized crystal structure of LiHf2SeS3 at the PBE level of DFT.

```
LiHf2SeS3
1.0
7.4873 0.0294 0.0210
3.6399 6.5431 0.0210
3.6399 2.1500 6.1798
Li Hf Se S
2 4 2 6
Cartesian
5.7643 3.4048 2.4286 Li
9.0029 5.3177 3.7931 Li
0.0000 0.0000 0.0000 Hf
3.7437 0.0147 0.0105 Hf
1.8200 3.2715 0.0105 Hf
1.8200 1.0750 3.0899 Hf
11.0351 6.5180 4.6493 Se
3.7322 2.2044 1.5724 Se
7.2018 6.5971 4.7057 S
9.2539 3.1227 4.7057 S
9.2539 5.4659 1.4206 S
7.5655 2.1254 1.5160 S
5.5133 5.5997 1.5160 S
5.5133 3.2565 4.8011 S
```

DFT total energy, eV per atom: -6.876
Crystal system: trigonal
Symmetry: No. 166
Volume, Å³/cell: 301
N(E_F), states/eV/cell: 6.657
Energy relative to the elements, uncorrected, eV/atom: -1.492